## KBaAu2 (PBE-GGA)

Data for crystalline KBaAu2 at its relaxed geometry.

Unit cell a=4.7405 b=4.7480 c=6.6876 alpha=90.00 beta=90.00 gamma=90.00
Element x y z (fractional)
Au: 0.5000 0.5000 0.3744
Au: 0.0000 0.0000 0.8755
Ba: 0.0000 0.0000 0.3756
K: 0.5000 0.5000 0.8745

Values from the calculation:
ΔE_f = -443 meV per atom
Energy relative to the lowest polymorph listed for this composition = 88 meV per atom
Symmetry = P4mm